[1]
Entry from the Alexandria database: a relaxed LiBe2AuO crystal (PBE).

a b c (Å): 3.567 3.567 3.997
angles (deg): 90.00 90.00 90.00
Fractional positions:
Li1 0.000 0.000 0.000
Be1 0.000 0.500 0.500
Be2 0.500 0.000 0.500
Au1 0.500 0.500 0.000
O1 0.000 0.000 0.500

Calculated values
- VASP energy (eV/atom) = -4.3250
- V (Å³/cell) = 51
- magnetic moment (μB/f.u.) = 0.0
- ΔE_f (raw) (meV/atom) = -804.7
- SG = P4/mmm

[2]
Entry from the Alexandria database: a relaxed Be3Au crystal (PBE).

a b c (Å): 4.251 4.251 4.251
angles (deg): 131.18 131.18 71.53
Fractional positions:
Be1 0.000 0.000 0.000
Be2 0.250 0.750 0.500
Be3 0.750 0.250 0.500
Au1 0.500 0.500 0.000

Calculated values
- VASP energy (eV/atom) = -3.6775
- V (Å³/cell) = 43
- energy of formation (kJ per mole of atoms) = -6
- magnetic moment (μB/f.u.) = 0.0
- SG = I4/mmm

[3]
Entry from the Alexandria database: a relaxed NiOs4W crystal (PBE).

a b c (Å): 5.079 5.079 5.079
angles (deg): 60.00 60.00 60.00
Fractional positions:
Ni1 0.000 0.000 0.000
Os1 0.124 0.625 0.625
Os2 0.625 0.124 0.625
Os3 0.625 0.625 0.124
Os4 0.625 0.625 0.625
W1 0.250 0.250 0.250

Calculated values
- VASP energy (eV/atom) = -9.9755
- V (Å³/cell) = 93
- energy of formation (kJ per mole of atoms) = 61
- magnetic moment (μB/f.u.) = 0.0
- SG = F-43m

[4]
Entry from the Alexandria database: a relaxed NbCo2HW crystal (PBE).

a b c (Å): 3.788 3.788 3.948
angles (deg): 90.00 90.00 90.00
Fractional positions:
Nb1 0.000 0.000 0.000
Co1 0.000 0.500 0.500
Co2 0.500 0.000 0.500
H1 0.500 0.500 0.500
W1 0.500 0.500 0.000

Calculated values
- VASP energy (eV/atom) = -8.1028
- offset from the most stable computed form (meV/atom) = 8
- V (Å³/cell) = 57
- magnetic moment (μB/f.u.) = 0.0
- SG = P4/mmm

[5]
Entry from the Alexandria database: a relaxed HoTm2Zr crystal (PBE).

a b c (Å): 3.399 3.399 9.732
angles (deg): 90.00 90.00 90.00
Fractional positions:
Ho1 0.000 0.000 0.000
Tm1 0.500 0.500 0.267
Tm2 0.500 0.500 0.733
Zr1 0.000 0.000 0.500

Calculated values
- VASP energy (eV/atom) = -5.4592
- offset from the most stable computed form (meV/atom) = 0
- V (Å³/cell) = 112
- energy of formation (kJ per mole of atoms) = 6
- magnetic moment (μB/f.u.) = 0.0
- SG = P4/mmm

[6]
Entry from the Alexandria database: a relaxed BaLa2ZnO5 crystal (PBE).

a b c (Å): 7.649 7.649 7.649
angles (deg): 126.02 126.02 79.86
Fractional positions:
Ba1 0.250 0.250 0.000
Ba2 0.750 0.750 0.000
La1 0.176 0.676 0.853
La2 0.324 0.176 0.500
La3 0.676 0.824 0.500
La4 0.824 0.324 0.147
Zn1 0.250 0.750 0.500
Zn2 0.750 0.250 0.500
O1 0.000 0.000 0.000
O2 0.013 0.222 0.500
O3 0.222 0.722 0.209
O4 0.278 0.487 0.500
O5 0.487 0.987 0.209
O6 0.500 0.500 0.000
O7 0.513 0.013 0.791
O8 0.722 0.513 0.500
O9 0.778 0.278 0.791
O10 0.987 0.778 0.500

Calculated values
- VASP energy (eV/atom) = -7.0068
- V (Å³/cell) = 283
- magnetic moment (μB/f.u.) = 0.0
- ΔE_f (raw) (meV/atom) = -2802.1
- SG = I4/mcm

[7]
Entry from the Alexandria database: a relaxed Ca4Pa3CrN8 crystal (PBE).

a b c (Å): 7.020 7.020 6.880
angles (deg): 119.15 119.15 58.38
Fractional positions:
Ca1 0.000 0.000 0.000
Ca2 0.000 0.500 0.500
Ca3 0.500 0.000 0.500
Ca4 0.500 0.500 0.000
Pa1 0.000 0.000 0.500
Pa2 0.000 0.500 0.000
Pa3 0.500 0.000 0.000
Cr1 0.500 0.500 0.500
N1 0.235 0.235 0.203
N2 0.237 0.237 0.755
N3 0.237 0.732 0.263
N4 0.268 0.763 0.737
N5 0.732 0.237 0.263
N6 0.763 0.268 0.737
N7 0.763 0.763 0.245
N8 0.765 0.765 0.797

Calculated values
- VASP energy (eV/atom) = -8.3036
- V (Å³/cell) = 240
- magnetic moment (μB/f.u.) = 3.0
- ΔE_f (raw) (meV/atom) = -1258.6
- SG = C2/m

[8]
Entry from the Alexandria database: a relaxed Sc2CoCu2 crystal (PBE).

a b c (Å): 8.135 8.135 8.135
angles (deg): 156.79 156.79 33.05
Fractional positions:
Sc1 0.096 0.096 0.000
Sc2 0.904 0.904 0.000
Co1 0.500 0.500 0.000
Cu1 0.250 0.750 0.500
Cu2 0.750 0.250 0.500

Calculated values
- VASP energy (eV/atom) = -5.6469
- V (Å³/cell) = 84
- energy of formation (kJ per mole of atoms) = -5
- magnetic moment (μB/f.u.) = 0.5
- SG = I4/mmm

[9]
Entry from the Alexandria database: a relaxed Tb3Nd2Sm7 crystal (PBE).

a b c (Å): 6.444 3.570 17.714
angles (deg): 90.00 96.05 90.00
Fractional positions:
Tb1 0.000 0.000 0.000
Tb2 0.048 0.500 0.659
Tb3 0.952 0.500 0.341
Nd1 0.441 0.000 0.329
Nd2 0.559 0.000 0.671
Sm1 0.224 0.500 0.165
Sm2 0.243 0.000 0.502
Sm3 0.273 0.000 0.832
Sm4 0.500 0.500 0.000
Sm5 0.727 0.000 0.168
Sm6 0.757 0.000 0.498
Sm7 0.776 0.500 0.835

Calculated values
- VASP energy (eV/atom) = -4.6356
- offset from the most stable computed form (meV/atom) = 0
- V (Å³/cell) = 405
- energy of formation (kJ per mole of atoms) = 7
- magnetic moment (μB/f.u.) = 0.0
- SG = P2/m

[10]
Entry from the Alexandria database: a relaxed NiBr crystal (PBE).

a b c (Å): 10.830 4.029 5.370
angles (deg): 90.00 90.00 90.00
Fractional positions:
Ni1 0.000 0.173 0.000
Ni2 0.196 0.354 0.250
Ni3 0.304 0.646 0.750
Ni4 0.500 0.827 0.500
Ni5 0.696 0.646 0.750
Ni6 0.804 0.354 0.250
Br1 0.000 0.671 0.225
Br2 0.171 0.159 0.694
Br3 0.329 0.841 0.194
Br4 0.500 0.329 0.725
Br5 0.671 0.841 0.194
Br6 0.829 0.159 0.694

Calculated values
- VASP energy (eV/atom) = -3.6437
- V (Å³/cell) = 234
- magnetic moment (μB/f.u.) = 1.0
- ΔE_f (raw) (meV/atom) = 83.4
- SG = Pmn2_1

[11]
Entry from the Alexandria database: a relaxed LiMnCuPt2 crystal (PBE).

a b c (Å): 4.226 4.226 4.152
angles (deg): 90.00 90.00 90.00
Fractional positions:
Li1 0.000 0.000 0.000
Mn1 0.000 0.000 0.500
Cu1 0.500 0.500 0.500
Pt1 0.000 0.500 0.000
Pt2 0.500 0.000 0.000

Calculated values
- VASP energy (eV/atom) = -4.9824
- V (Å³/cell) = 74
- energy of formation (kJ per mole of atoms) = 45
- magnetic moment (μB/f.u.) = 4.8
- SG = P4/mmm

[12]
Entry from the Alexandria database: a relaxed Hf2ZrSi crystal (PBE).

a b c (Å): 5.351 5.351 7.810
angles (deg): 119.78 119.78 63.22
Fractional positions:
Hf1 0.000 0.000 0.000
Hf2 0.430 0.931 0.498
Hf3 0.792 0.792 0.222
Hf4 0.931 0.430 0.498
Zr1 0.362 0.362 0.999
Zr2 0.570 0.570 0.776
Si1 0.009 0.009 0.656
Si2 0.351 0.351 0.340

Calculated values
- VASP energy (eV/atom) = -8.9030
- V (Å³/cell) = 162
- magnetic moment (μB/f.u.) = 0.0
- ΔE_f (raw) (meV/atom) = -433.5
- SG = Cm

[13]
Entry from the Alexandria database: a relaxed BeRu2Rh crystal (PBE).

a b c (Å): 4.205 4.205 4.205
angles (deg): 60.00 60.00 60.00
Fractional positions:
Be1 0.000 0.000 0.000
Ru1 0.250 0.250 0.250
Ru2 0.500 0.500 0.500
Rh1 0.750 0.750 0.750

Calculated values
- VASP energy (eV/atom) = -7.2370
- V (Å³/cell) = 53
- energy of formation (kJ per mole of atoms) = 16
- magnetic moment (μB/f.u.) = 1.1
- SG = F-43m

[14]
Entry from the Alexandria database: a relaxed HoTmSiAu crystal (PBE).

a b c (Å): 5.001 5.001 5.001
angles (deg): 60.00 60.00 60.00
Fractional positions:
Ho1 0.000 0.000 0.000
Tm1 0.500 0.500 0.500
Si1 0.250 0.250 0.250
Au1 0.750 0.750 0.750

Calculated values
- VASP energy (eV/atom) = -5.0980
- V (Å³/cell) = 88
- magnetic moment (μB/f.u.) = 0.0
- ΔE_f (raw) (meV/atom) = -660.6
- SG = F-43m

[15]
Entry from the Alexandria database: a relaxed HgSb2As crystal (PBE).

a b c (Å): 3.051 4.171 8.504
angles (deg): 90.00 91.97 90.00
Fractional positions:
Hg1 0.000 0.000 0.000
Sb1 0.017 0.500 0.734
Sb2 0.983 0.500 0.266
As1 0.000 0.000 0.500

Calculated values
- VASP energy (eV/atom) = -3.1929
- offset from the most stable computed form (meV/atom) = 75
- V (Å³/cell) = 108
- magnetic moment (μB/f.u.) = 0.0
- ΔE_f (raw) (meV/atom) = 106.1
- SG = P2/m

[16]
Entry from the Alexandria database: a relaxed InWAu crystal (PBE).

a b c (Å): 4.494 4.494 4.494
angles (deg): 60.00 60.00 60.00
Fractional positions:
In1 0.000 0.000 0.000
W1 0.500 0.500 0.500
Au1 0.750 0.750 0.750

Calculated values
- VASP energy (eV/atom) = -5.4197
- offset from the most stable computed form (meV/atom) = 491
- V (Å³/cell) = 64
- energy of formation (kJ per mole of atoms) = 87
- magnetic moment (μB/f.u.) = 2.0
- SG = F-43m

[17]
Entry from the Alexandria database: a relaxed EuHoRhAu crystal (PBE).

a b c (Å): 5.026 5.026 5.026
angles (deg): 60.00 60.00 60.00
Fractional positions:
Eu1 0.000 0.000 0.000
Ho1 0.500 0.500 0.500
Rh1 0.750 0.750 0.750
Au1 0.250 0.250 0.250

Calculated values
- VASP energy (eV/atom) = -7.0473
- V (Å³/cell) = 90
- energy of formation (kJ per mole of atoms) = -65
- magnetic moment (μB/f.u.) = 7.0
- SG = F-43m